Entry 1:
## Hf2CuNiAu2 (PBE-GGA)

Data for crystalline Hf2CuNiAu2 at its relaxed geometry.

Cell: 5.600 5.620 7.755 Å, 111.24 111.16 90.00°
Positions (direct):
1 Au 0.864 0.597 0.729
2 Au 0.364 0.132 0.729
3 Au 0.636 0.868 0.271
4 Au 0.136 0.403 0.271
5 Hf 0.656 0.381 0.311
6 Hf 0.844 0.070 0.689
7 Hf 0.156 0.930 0.311
8 Hf 0.344 0.619 0.689
9 Cu 0.250 0.500 0.000
10 Cu 0.750 0.500 0.000
11 Ni 0.750 0.000 0.000
12 Ni 0.250 0.000 0.000

Summary:
The space group is Ibam (72). The value obtained for the size of the total moment is 0.0 Bohr magnetons per cell. The value obtained for the formation energy is -0.33 eV/atom.

=====

Entry 2:
## P2PbSe (PBE-GGA)

Data for crystalline P2PbSe at its relaxed geometry.

Cell: 4.867 4.867 4.866 Å, 70.23 70.23 108.84°
Positions (direct):
1 P 0.000 0.000 0.000
2 P 0.500 0.500 0.000
3 Pb 0.500 0.000 0.500
4 Se 0.000 0.500 0.500

Summary:
The value obtained for the uncorrected formation energy is 0.305 eV per atom. The space group is I4/mmm (139). The value obtained for the size of the total moment is 0.0 Bohr magnetons per cell.

=====

Entry 3:
## Sm3Ho8Th2 (PBE-GGA)

Data for crystalline Sm3Ho8Th2 at its relaxed geometry.

Cell: 5.682 7.386 10.972 Å, 109.67 90.02 90.00°
Positions (direct):
1 Ho 0.001 0.861 0.721
2 Ho 0.000 0.668 0.337
3 Ho 0.500 0.606 0.780
4 Ho 0.500 0.394 0.220
5 Ho 0.000 0.332 0.663
6 Ho 0.500 0.827 0.220
7 Ho 0.500 0.173 0.780
8 Ho 0.999 0.139 0.279
9 Th 0.500 0.245 0.490
10 Th 0.500 0.755 0.510
11 Sm 0.000 0.719 0.000
12 Sm 0.000 0.281 0.000
13 Sm 0.500 0.000 0.000

Summary:
The space group is Cmmm (65). The value obtained for the size of the total moment is 0.0 Bohr magnetons per cell. The value obtained for the formation energy is 0.28 eV/atom.

=====

Entry 4:
## HoH6Rh2Pb (PBE-GGA)

Data for crystalline HoH6Rh2Pb at its relaxed geometry.

Cell: 6.125 6.125 6.192 Å, 100.45 100.45 101.22°
Positions (direct):
1 H 0.673 0.472 0.624
2 H 0.066 0.592 0.876
3 H 0.934 0.408 0.124
4 H 0.223 0.220 0.069
5 H 0.777 0.780 0.931
6 H 0.220 0.223 0.569
7 H 0.528 0.327 0.876
8 H 0.592 0.066 0.376
9 H 0.408 0.934 0.624
10 H 0.780 0.777 0.431
11 H 0.472 0.673 0.124
12 H 0.327 0.528 0.376
13 Ho 0.608 0.392 0.250
14 Ho 0.392 0.608 0.750
15 Rh 0.910 0.681 0.674
16 Rh 0.319 0.090 0.826
17 Rh 0.681 0.910 0.174
18 Rh 0.090 0.319 0.326
19 Pb 0.149 0.851 0.250
20 Pb 0.851 0.149 0.750

Summary:
The space group is C2/c (15). The value obtained for the size of the total moment is 0.0 Bohr magnetons per cell. As for the energy: -89.8 eV for the cell shown.

=====

Entry 5:
## ScSnS2N (PBE-GGA)

Data for crystalline ScSnS2N at its relaxed geometry.

Cell: 5.015 5.015 3.946 Å, 90.00 90.00 90.00°
Positions (direct):
1 Sn 0.000 0.000 0.000
2 S 0.000 0.500 0.000
3 S 0.500 0.000 0.000
4 N 0.000 0.000 0.500
5 Sc 0.500 0.500 0.500

Summary:
The value obtained for the uncorrected formation energy is 0.128 eV per atom. The space group is P4/mmm (123). The value obtained for the size of the total moment is 0.0 Bohr magnetons per cell.

=====

Entry 6:
## Tm2Sc2Te7 (PBE-GGA)

Data for crystalline Tm2Sc2Te7 at its relaxed geometry.

Cell: 4.092 9.379 9.379 Å, 61.88 77.40 77.40°
Positions (direct):
1 Te 0.862 0.424 0.852
2 Te 0.174 0.719 0.932
3 Te 0.393 0.706 0.508
4 Te 0.607 0.492 0.294
5 Te 0.826 0.068 0.281
6 Te 0.138 0.148 0.576
7 Te 0.500 0.005 0.995
8 Tm 0.741 0.857 0.661
9 Tm 0.259 0.339 0.143
10 Sc 0.000 0.774 0.226
11 Sc 0.500 0.321 0.679

Summary:
The value obtained for the uncorrected formation energy is -1.058 eV per atom. The space group is Imm2 (44). The value obtained for the size of the total moment is 0.0 Bohr magnetons per cell.

=====

Entry 7:
## CdBi (PBE-GGA)

Data for crystalline CdBi at its relaxed geometry.

Cell: 6.741 6.741 6.741 Å, 90.00 90.00 90.00°
Positions (direct):
1 Bi 0.500 0.500 0.000
2 Bi 0.000 0.000 0.000
3 Bi 0.500 0.000 0.500
4 Bi 0.000 0.500 0.500
5 Cd 0.250 0.250 0.250
6 Cd 0.750 0.250 0.750
7 Cd 0.250 0.750 0.750
8 Cd 0.750 0.750 0.250

Summary:
The space group is F-43m (216). The value obtained for the size of the total moment is 0.0 Bohr magnetons per cell. The value obtained for the formation energy is 0.24 eV/atom.

=====

Entry 8:
## YNiSb2 (PBE-GGA)

Data for crystalline YNiSb2 at its relaxed geometry.

Cell: 4.057 4.036 6.209 Å, 71.11 90.00 90.00°
Positions (direct):
1 Sb 0.000 0.827 0.973
2 Sb 0.500 0.172 0.283
3 Ni 0.500 0.955 0.710
4 Y 0.000 0.546 0.533

Summary:
The value obtained for the uncorrected formation energy is -0.378 eV per atom. The space group is Pm (6). The value obtained for the size of the total moment is 0.0 Bohr magnetons per cell.

=====

Entry 9:
## KCoN2 (PBE-GGA)

Data for crystalline KCoN2 at its relaxed geometry.

Cell: 6.736 6.736 6.736 Å, 26.52 26.52 26.52°
Site moments in Bohr magnetons follow the coordinates.
Positions (direct):
1 N 0.126 0.126 0.126  0.08
2 N 0.874 0.874 0.874  0.08
3 K 0.000 0.000 0.000  0.00
4 Co 0.500 0.500 0.500  0.57

Summary:
The value obtained for the uncorrected formation energy is 0.839 eV per atom. The space group is R-3m (166). The value obtained for the size of the total moment is 0.8 Bohr magnetons per cell.

=====

Entry 10:
## Ac3Si4Ge2 (PBE-GGA)

Data for crystalline Ac3Si4Ge2 at its relaxed geometry.

Cell: 4.408 6.262 8.684 Å, 97.03 90.00 110.61°
Positions (direct):
1 Ge 0.614 0.227 0.276
2 Ge 0.386 0.773 0.724
3 Si 0.947 0.893 0.608
4 Si 0.276 0.552 0.955
5 Si 0.053 0.107 0.392
6 Si 0.724 0.448 0.045
7 Ac 0.334 0.669 0.333
8 Ac 0.000 0.000 0.000
9 Ac 0.666 0.331 0.667

Summary:
The value obtained for the uncorrected formation energy is -0.541 eV per atom. The space group is C2/m (12). The value obtained for the size of the total moment is 0.0 Bohr magnetons per cell.

=====

Entry 11:
## TiSiSb2Te (PBE-GGA)

Data for crystalline TiSiSb2Te at its relaxed geometry.

Cell: 5.282 5.282 5.207 Å, 90.00 90.00 90.00°
Positions (direct):
1 Sb 0.500 0.000 0.000
2 Sb 0.000 0.500 0.000
3 Ti 0.000 0.000 0.000
4 Te 0.000 0.000 0.500
5 Si 0.500 0.500 0.500

Summary:
The value obtained for the uncorrected formation energy is 0.525 eV per atom. The space group is P4/mmm (123). The value obtained for the size of the total moment is 0.0 Bohr magnetons per cell.

=====

Entry 12:
## ZrNb2CrPd (PBE-GGA)

Data for crystalline ZrNb2CrPd at its relaxed geometry.

Cell: 4.873 5.020 4.873 Å, 90.00 90.00 90.00°
Site moments in Bohr magnetons follow the coordinates.
Positions (direct):
1 Pd 0.000 0.000 0.000  0.03
2 Cr 0.500 0.500 0.500  3.77
3 Zr 0.000 0.500 0.000  0.05
4 Nb 0.000 0.000 0.500  -0.10
5 Nb 0.500 0.000 0.000  -0.30

Summary:
The space group is P4/mmm (123). The value obtained for the size of the total moment is 4.1 Bohr magnetons per cell. The value obtained for the formation energy is 1.23 eV/atom.

=====

Entry 13:
## TaRe2Ru2 (PBE-GGA)

Data for crystalline TaRe2Ru2 at its relaxed geometry.

Cell: 3.907 3.907 6.213 Å, 71.67 71.67 90.00°
Positions (direct):
1 Re 0.606 0.606 0.788
2 Re 0.394 0.394 0.212
3 Ru 0.750 0.250 0.500
4 Ru 0.250 0.750 0.500
5 Ta 0.000 0.000 0.000

Summary:
The space group is I4/mmm (139). The value obtained for the size of the total moment is 0.0 Bohr magnetons per cell. The value obtained for the formation energy is 0.42 eV/atom.

=====

Entry 14:
## Zn2PRh (PBE-GGA)

Data for crystalline Zn2PRh at its relaxed geometry.

Cell: 4.577 4.577 2.956 Å, 90.00 90.00 113.82°
Positions (direct):
1 Zn 0.500 0.000 0.000
2 Zn 0.000 0.500 0.000
3 Rh 0.500 0.500 0.500
4 P 0.000 0.000 0.500

Summary:
The space group is Cmmm (65). The value obtained for the size of the total moment is 0.0 Bohr magnetons per cell. The value obtained for the formation energy is -0.13 eV/atom.

=====

Entry 15:
## Ca2IrPtO6 (PBE-GGA)

Data for crystalline Ca2IrPtO6 at its relaxed geometry.

Cell: 5.225 5.225 7.400 Å, 89.93 89.93 35.71°
Site moments in Bohr magnetons follow the coordinates.
Positions (direct):
1 Ca 0.750 0.750 0.254  0.00
2 Ca 0.250 0.250 0.746  0.00
3 O 0.629 0.629 0.956  0.00
4 O 0.918 0.918 0.746  0.08
5 O 0.376 0.376 0.448  0.07
6 O 0.624 0.624 0.552  0.07
7 O 0.082 0.082 0.254  0.08
8 O 0.371 0.371 0.044  0.00
9 Pt 0.000 0.000 0.000  0.02
10 Ir 0.000 0.000 0.500  0.56

Summary:
The value obtained for the uncorrected formation energy is -1.623 eV per atom. The space group is C2/m (12). The value obtained for the size of the total moment is 1.0 Bohr magnetons per cell.

=====

Entry 16:
## Ca2PmAlO (PBE-GGA)

Data for crystalline Ca2PmAlO at its relaxed geometry.

Cell: 4.995 4.782 4.782 Å, 90.00 90.00 90.00°
Positions (direct):
1 Ca 0.000 0.500 0.000
2 Ca 0.000 0.000 0.500
3 Al 0.500 0.500 0.500
4 O 0.000 0.000 0.000
5 Pm 0.500 0.000 0.000

Summary:
The value obtained for the uncorrected formation energy is -1.313 eV per atom. The space group is P4/mmm (123). The value obtained for the size of the total moment is 0.0 Bohr magnetons per cell.

=====

Entry 17:
## TbCeThIn (PBE-GGA)

Data for crystalline TbCeThIn at its relaxed geometry.

Cell: 5.469 5.469 5.469 Å, 60.00 60.00 60.00°
Site moments in Bohr magnetons follow the coordinates.
Positions (direct):
1 In 0.000 0.000 0.000  -0.01
2 Ce 0.750 0.750 0.750  0.23
3 Th 0.500 0.500 0.500  0.06
4 Tb 0.250 0.250 0.250  0.03

Summary:
The space group is F-43m (216). The value obtained for the size of the total moment is 0.4 Bohr magnetons per cell. The value obtained for the formation energy is -0.03 eV/atom.

=====

Entry 18:
## CaCu2Se (PBE-GGA)

Data for crystalline CaCu2Se at its relaxed geometry.

Cell: 5.693 5.693 5.693 Å, 43.85 43.85 43.85°
Positions (direct):
1 Se 0.250 0.250 0.250
2 Cu 0.539 0.539 0.539
3 Cu 0.961 0.961 0.961
4 Ca 0.750 0.750 0.750

Summary:
The value obtained for the uncorrected formation energy is -0.187 eV per atom. The space group is R-3m (166). The value obtained for the size of the total moment is 0.0 Bohr magnetons per cell.

=====

Entry 19:
## ReSi3S (PBE-GGA)

Data for crystalline ReSi3S at its relaxed geometry.

Cell: 4.685 4.685 4.685 Å, 90.00 90.00 90.00°
Site moments in Bohr magnetons follow the coordinates.
Positions (direct):
1 Si 0.000 0.500 0.000  0.01
2 Si 0.000 0.000 0.500  0.02
3 Si 0.500 0.000 0.000  0.00
4 S 0.500 0.500 0.500  0.30
5 Re 0.000 0.000 0.000  0.19

Summary:
The value obtained for the uncorrected formation energy is 0.490 eV per atom. The space group is Pm-3m (221). The value obtained for the size of the total moment is 0.7 Bohr magnetons per cell.

=====

Entry 20:
## HoPRh (PBE-GGA)

Data for crystalline HoPRh at its relaxed geometry.

Cell: 3.887 6.763 11.749 Å, 89.04 90.00 90.00°
Positions (direct):
1 P 0.750 0.771 0.573
2 P 0.250 0.229 0.427
3 P 0.750 0.266 0.751
4 P 0.750 0.222 0.081
5 P 0.250 0.734 0.249
6 P 0.250 0.778 0.919
7 Ho 0.250 0.970 0.709
8 Ho 0.750 0.030 0.291
9 Ho 0.750 0.651 0.080
10 Ho 0.750 0.529 0.379
11 Ho 0.250 0.349 0.920
12 Ho 0.250 0.471 0.621
13 Rh 0.750 0.151 0.538
14 Rh 0.750 0.993 0.910
15 Rh 0.750 0.634 0.795
16 Rh 0.250 0.007 0.090
17 Rh 0.250 0.366 0.205
18 Rh 0.250 0.849 0.462

Summary:
The space group is P2_1/m (11). The value obtained for the size of the total moment is 0.0 Bohr magnetons per cell. The value obtained for the formation energy is -1.25 eV/atom.

=====

Entry 21:
## SrNi2Os (PBE-GGA)

Data for crystalline SrNi2Os at its relaxed geometry.

Cell: 2.971 3.008 7.380 Å, 90.00 90.00 90.00°
Positions (direct):
1 Ni 0.500 0.500 0.241
2 Ni 0.000 0.000 0.071
3 Sr 0.500 0.500 0.760
4 Os 0.000 0.000 0.427

Summary:
The space group is Pmm2 (25). The value obtained for the size of the total moment is 0.0 Bohr magnetons per cell. The value obtained for the formation energy is 0.51 eV/atom.

=====

Entry 22:
## TaMnRh2 (PBE-GGA)

Data for crystalline TaMnRh2 at its relaxed geometry.

Cell: 4.434 2.925 4.667 Å, 90.02 90.00 90.00°
Site moments in Bohr magnetons follow the coordinates.
Positions (direct):
1 Rh 0.000 0.125 0.920  0.17
2 Rh 0.500 0.125 0.314  0.11
3 Ta 0.000 0.625 0.431  -0.19
4 Mn 0.500 0.625 0.834  3.50

Summary:
The space group is Pmm2 (25). The value obtained for the size of the total moment is 3.7 Bohr magnetons per cell. The value obtained for the formation energy is -0.32 eV/atom.

=====

Entry 23:
## YSb (PBE-GGA)

Data for crystalline YSb at its relaxed geometry.

Cell: 4.360 4.360 7.497 Å, 90.00 90.00 120.00°
Positions (direct):
1 Sb 0.333 0.667 0.750
2 Sb 0.667 0.333 0.250
3 Y 0.000 0.000 0.500
4 Y 0.000 0.000 0.000

Summary:
The value obtained for the uncorrected formation energy is -1.097 eV per atom. The space group is P6_3/mmc (194). The value obtained for the size of the total moment is 0.0 Bohr magnetons per cell.

=====

Entry 24:
## KZr2Sc (PBE-GGA)

Data for crystalline KZr2Sc at its relaxed geometry.

Cell: 5.054 4.585 4.585 Å, 90.00 90.00 90.00°
Positions (direct):
1 Zr 0.000 0.500 0.500
2 Zr 0.000 0.000 0.000
3 K 0.500 0.500 0.000
4 Sc 0.500 0.000 0.500

Summary:
The space group is P4/mmm (123). The value obtained for the size of the total moment is 0.0 Bohr magnetons per cell. The value obtained for the formation energy is 0.87 eV/atom.

=====

Entry 25:
## HfIr2Au (PBE-GGA)

Data for crystalline HfIr2Au at its relaxed geometry.

Cell: 4.566 4.566 4.566 Å, 60.00 60.00 60.00°
Positions (direct):
1 Hf 0.000 0.000 0.000
2 Ir 0.750 0.750 0.750
3 Ir 0.250 0.250 0.250
4 Au 0.500 0.500 0.500

Summary:
The space group is Fm-3m (225). The value obtained for the size of the total moment is 0.0 Bohr magnetons per cell. The value obtained for the formation energy is -0.34 eV/atom.

=====

Entry 26:
## Re3OsBr (PBE-GGA)

Data for crystalline Re3OsBr at its relaxed geometry.

Cell: 4.472 4.472 4.472 Å, 90.00 90.00 90.00°
Positions (direct):
1 Os 0.500 0.500 0.500
2 Re 0.000 0.500 0.000
3 Re 0.000 0.000 0.500
4 Re 0.500 0.000 0.000
5 Br 0.000 0.000 0.000

Summary:
The value obtained for the uncorrected formation energy is 2.621 eV per atom. The space group is Pm-3m (221). The value obtained for the size of the total moment is 0.0 Bohr magnetons per cell.